Material: YNbReI2
Method: DFT, GGA-PBE
State: relaxed

abc: 5.8070 5.8070 6.0998
angles: 90.00 90.00 90.00
Space group P4/mmm (No. 123)
Asymmetric unit:
Y: 0.0000 0.0000 0.0000 x1
Nb: 0.0000 0.0000 0.5000 x1
Re: 0.5000 0.5000 0.5000 x1
I: 0.0000 0.5000 0.0000 x2

Summary:
Uncorrected formation energy: 1.84 eV/atom

---

Material: HoAsRh
Method: DFT, GGA-PBE
State: relaxed

abc: 6.9033 4.0169 11.9939
angles: 90.00 90.98 90.00
Space group P2_1/m (No. 11)
Asymmetric unit:
Ho: 0.0273 0.2500 0.2069 x2
Ho: 0.3416 0.7500 0.5789 x2
Ho: 0.4702 0.7500 0.8787 x2
As: 0.2298 0.2500 0.4163 x2
As: 0.2311 0.7500 0.0768 x2
As: 0.2680 0.2500 0.7485 x2
Rh: 0.0020 0.7500 0.4097 x2
Rh: 0.1533 0.2500 0.9571 x2
Rh: 0.3612 0.7500 0.2936 x2

Summary:
DFT formation energy: -3.38 eV per formula unit

---

Material: CeNdScHg
Method: DFT, GGA-PBE
State: relaxed

abc: 7.4894 7.4894 7.4894
angles: 90.00 90.00 90.00
Space group F-43m (No. 216)
Asymmetric unit:
Ce: 0.0000 0.0000 0.0000 x4
Nd: 0.2500 0.2500 0.7500 x4
Sc: 0.2500 0.2500 0.2500 x4
Hg: 0.0000 0.0000 0.5000 x4

Summary:
DFT formation energy: 0.00 eV per formula unit

---

Material: InTcOs4
Method: DFT, GGA-PBE
State: relaxed

abc: 7.3125 7.3125 7.3125
angles: 90.00 90.00 90.00
Space group F-43m (No. 216)
Asymmetric unit:
In: 0.0000 0.0000 0.0000 x4
Tc: 0.2500 0.2500 0.2500 x4
Os: 0.1248 0.1248 0.6248 x16

Summary:
DFT formation energy: 4.32 eV per formula unit

---

Material: KRbH3
Method: DFT, GGA-PBE
State: relaxed

abc: 5.0030 5.0030 5.0030
angles: 90.00 90.00 90.00
Space group Pm-3m (No. 221)
Asymmetric unit:
K: 0.0000 0.0000 0.0000 x1
Rb: 0.5000 0.5000 0.5000 x1
H: 0.0000 0.0000 0.5000 x3

Summary:
E: -10.32 eV for the cell shown

---

Material: BaLi2Co
Method: DFT, GGA-PBE
State: relaxed

abc: 7.0063 7.0063 7.0063
angles: 90.00 90.00 90.00
Space group Fm-3m (No. 225)
Asymmetric unit:
Ba: 0.0000 0.0000 0.0000 x4
Li: 0.2500 0.2500 0.2500 x8
Co: 0.0000 0.0000 0.5000 x4

Summary:
DFT formation energy: 2.21 eV per formula unit

---

Material: Na3Li3Te2S
Method: DFT, GGA-PBE
State: relaxed

abc: 7.3446 7.3446 4.3604
angles: 90.00 90.00 120.00
Space group P-62m (No. 189)
Asymmetric unit:
Na: 0.0000 0.3961 0.0000 x3
Li: 0.0000 0.7619 0.5000 x3
Te: 0.3333 0.6667 0.5000 x2
S: 0.0000 0.0000 0.0000 x1

Summary:
Uncorrected formation energy: -0.99 eV/atom

---

Material: La3HoTe4
Method: DFT, GGA-PBE
State: relaxed

abc: 7.8825 8.9675 7.8325
angles: 90.00 109.16 90.00
Space group P2/c (No. 13)
Asymmetric unit:
La: 0.0000 0.1233 0.2500 x2
La: 0.0000 0.3735 0.7500 x2
La: 0.5000 0.1247 0.7500 x2
Ho: 0.5000 0.3733 0.2500 x2
Te: 0.2566 0.1318 0.0071 x4
Te: 0.2629 0.3821 0.4996 x4

Summary:
Uncorrected formation energy: -1.51 eV/atom

---

Material: SbP2WS
Method: DFT, GGA-PBE
State: relaxed

abc: 4.8755 4.8755 4.4888
angles: 90.00 90.00 90.00
Space group P4/mmm (No. 123)
Asymmetric unit:
Sb: 0.0000 0.0000 0.0000 x1
P: 0.0000 0.5000 0.5000 x2
W: 0.5000 0.5000 0.5000 x1
S: 0.5000 0.5000 0.0000 x1

Summary:
Uncorrected formation energy: 0.48 eV/atom

---

Material: CsCa3Re
Method: DFT, GGA-PBE
State: relaxed

abc: 5.5386 5.5386 5.5386
angles: 90.00 90.00 90.00
Space group Pm-3m (No. 221)
Asymmetric unit:
Cs: 0.0000 0.0000 0.0000 x1
Ca: 0.0000 0.0000 0.5000 x3
Re: 0.5000 0.5000 0.5000 x1

Summary:
DFT formation energy: 11.10 eV per formula unit

---

Material: NbRe3Sb
Method: DFT, GGA-PBE
State: relaxed

abc: 4.8152 4.8152 4.8152
angles: 90.00 90.00 90.00
Space group Pm-3m (No. 221)
Asymmetric unit:
Nb: 0.0000 0.0000 0.0000 x1
Re: 0.0000 0.0000 0.5000 x3
Sb: 0.5000 0.5000 0.5000 x1

Summary:
Uncorrected formation energy: 2.23 eV/atom

---

Material: POs2C
Method: DFT, GGA-PBE
State: relaxed

abc: 5.6821 5.6821 5.6821
angles: 90.00 90.00 90.00
Space group Fm-3m (No. 225)
Asymmetric unit:
P: 0.0000 0.0000 0.0000 x4
Os: 0.2500 0.2500 0.2500 x8
C: 0.0000 0.0000 0.5000 x4

Summary:
DFT formation energy: 3.49 eV per formula unit

---

Material: CsPu2F6
Method: DFT, GGA-PBE
State: relaxed

abc: 6.5606 6.5606 5.9284
angles: 90.00 90.00 120.00
Space group P-31m (No. 162)
Asymmetric unit:
Cs: 0.0000 0.0000 0.0000 x1
Pu: 0.3333 0.6667 0.5000 x2
F: 0.0000 0.3864 0.7056 x6

Summary:
Uncorrected formation energy: -3.27 eV/atom

---

Material: Cu5AgPd8
Method: DFT, GGA-PBE
State: relaxed

abc: 7.4819 7.4819 7.6618
angles: 90.00 90.00 90.00
Space group I-4 (No. 82)
Asymmetric unit:
Cu: 0.0000 0.0000 0.0000 x2
Cu: 0.1261 0.2154 0.5874 x8
Ag: 0.0000 0.5000 0.2500 x2
Pd: 0.0696 0.3314 0.9128 x8
Pd: 0.0969 0.1621 0.2626 x8

Summary:
DFT formation energy: 1.40 eV per formula unit

---

Material: Mg3Si4
Method: DFT, GGA-PBE
State: relaxed

abc: 11.4548 5.5559 9.0419
angles: 90.00 113.69 90.00
Space group C2 (No. 5)
Asymmetric unit:
Mg: 0.0000 0.0000 0.0000 x2
Mg: 0.0000 0.4987 0.5000 x2
Mg: 0.2283 0.7765 0.9270 x4
Mg: 0.2446 0.4413 0.3894 x4
Si: 0.0041 0.4866 0.8676 x4
Si: 0.0499 0.8343 0.3141 x4
Si: 0.1012 0.1770 0.7641 x4
Si: 0.2399 0.9581 0.2852 x4

Summary:
Uncorrected formation energy: 0.09 eV/atom

---

Material: Rb2SbI6
Method: DFT, GGA-PBE
State: relaxed

abc: 8.1042 8.1042 15.6003
angles: 90.00 90.00 90.00
Space group P4_2/mnm (No. 136)
Asymmetric unit:
Rb: 0.0000 0.0000 0.1659 x4
Sb: 0.0000 0.0000 0.5000 x2
I: 0.1796 0.1796 0.3629 x8
I: 0.2408 0.2408 0.0000 x4

Summary:
Uncorrected formation energy: -0.72 eV/atom

---

Material: Rb2MnBi
Method: DFT, GGA-PBE
State: relaxed

abc: 14.1085 14.1085 5.2171
angles: 90.00 90.00 90.00
Space group I-42d (No. 122)
Asymmetric unit:
Rb: 0.0050 0.7500 0.1250 x8
Mn: 0.0000 0.0000 0.0000 x4
Bi: 0.0000 0.0000 0.5000 x4

Summary:
DFT formation energy: 1.01 eV per formula unit

---

Material: CsRbMn2Cl6
Method: DFT, GGA-PBE
State: relaxed

abc: 14.6472 14.6472 12.1096
angles: 90.00 90.00 120.00
Space group P6_3/mmc (No. 194)
Asymmetric unit:
Cs: 0.0000 0.5000 0.0000 x6
Cs: 0.3333 0.6667 0.2500 x2
Rb: 0.0000 0.0000 0.0000 x2
Rb: 0.1660 0.3321 0.7500 x6
Mn: 0.1654 0.3308 0.1175 x12
Mn: 0.3333 0.6667 0.6173 x4
Cl: 0.0000 0.2467 0.0000 x12
Cl: 0.0865 0.4079 0.2500 x12
Cl: 0.0872 0.1744 0.2500 x6
Cl: 0.1774 0.5887 0.7500 x6
Cl: 0.2490 0.4981 0.5016 x12

Summary:
Uncorrected formation energy: -1.48 eV/atom

---

Material: Tb2FeNi
Method: DFT, GGA-PBE
State: relaxed

abc: 3.3962 3.3962 6.7620
angles: 90.00 90.00 90.00
Space group P4/mmm (No. 123)
Asymmetric unit:
Tb: 0.0000 0.0000 0.2490 x2
Fe: 0.5000 0.5000 0.0000 x1
Ni: 0.5000 0.5000 0.5000 x1

Summary:
DFT formation energy: -0.41 eV per formula unit

---

Material: TlSn2HPb
Method: DFT, GGA-PBE
State: relaxed

abc: 4.7827 4.7827 5.3108
angles: 90.00 90.00 90.00
Space group P4/mmm (No. 123)
Asymmetric unit:
Tl: 0.0000 0.0000 0.0000 x1
Sn: 0.0000 0.5000 0.5000 x2
H: 0.0000 0.0000 0.5000 x1
Pb: 0.5000 0.5000 0.0000 x1

Summary:
E: -16.34 eV for the cell shown